No. 1
TbPr4S5 | PBE-GGA | optimized geometry

E ... -0.4738 Ry/atom
Magnetic moment ... 0.00 μB per cell

abc: 4.0602 5.7601 10.7972
angles: 105.47 100.84 90.00
With the nearest neighbours (Å) after each atom.
Fractional coordinates of all 10 atoms:
S  0.7990  0.2990  0.5980  6 Pr 2.88-2.89
Pr  0.6004  0.6004  0.2008  6 S 2.88-2.89
Tb  0.0000  0.0000  0.0000  6 S 2.80-2.88
S  0.4056  0.9056  0.8111  2 Tb 2.80, 4 Pr 2.88-2.93
Pr  0.3996  0.3996  0.7992  6 S 2.88-2.89
Pr  0.1981  0.1981  0.3961  6 S 2.88-2.93
S  0.0000  0.5000  0.0000  2 Tb 2.88, 4 Pr 2.88
Pr  0.8019  0.8019  0.6039  6 S 2.88-2.93
S  0.2010  0.7010  0.4020  6 Pr 2.88-2.89
S  0.5944  0.0944  0.1889  2 Tb 2.80, 4 Pr 2.88-2.93

No. 2
TbPrS2 | PBE-GGA | optimized geometry

E ... -0.4731 Ry/atom
Magnetic moment ... 0.00 μB per cell

abc: 3.9912 3.9912 7.0270
angles: 73.45 73.45 60.16
With the nearest neighbours (Å) after each atom.
Fractional coordinates of all 4 atoms:
Pr  0.5000  0.5000  0.5000  6 S 2.91
S  0.2556  0.2556  0.2329  3 Tb 2.77-2.78, 3 Pr 2.91
S  0.7444  0.7444  0.7671  3 Tb 2.77-2.78, 3 Pr 2.91
Tb  0.0000  0.0000  0.0000  6 S 2.77-2.78

No. 3
TbPr5S6 | PBE-GGA | optimized geometry

E ... -0.4749 Ry/atom
Magnetic moment ... 0.00 μB per cell

abc: 7.0562 7.0591 7.0706
angles: 60.05 80.33 70.33
With the nearest neighbours (Å) after each atom.
Fractional coordinates of all 12 atoms:
Pr  0.0000  0.3325  0.3349  6 S 2.88-2.90
S  0.7569  0.0813  0.3234  1 Tb 2.80, 5 Pr 2.88-2.93
Tb  0.0000  0.0000  0.0000  6 S 2.80-2.82
Pr  0.5000  0.1708  0.6583  6 S 2.89-2.93
S  0.2464  0.2417  0.0000  1 Tb 2.82, 5 Pr 2.90-2.95
S  0.2431  0.9187  0.6766  1 Tb 2.80, 5 Pr 2.88-2.93
Pr  0.5000  0.8292  0.3417  6 S 2.89-2.93
S  0.2431  0.5953  0.3234  1 Tb 2.80, 5 Pr 2.88-2.93
Pr  0.5000  0.5000  0.0000  6 S 2.88-2.95
S  0.7569  0.4047  0.6766  1 Tb 2.80, 5 Pr 2.88-2.93
Pr  0.0000  0.6675  0.6651  6 S 2.88-2.90
S  0.7536  0.7583  0.0000  1 Tb 2.82, 5 Pr 2.90-2.95